## MnPbAu2 (GGA-PBEsol)

Data for crystalline MnPbAu2 at its relaxed geometry.

## Properties
For the total energy, the calculation gives -21.37 eV per formula unit. Its crystal system is tetragonal. The formation energy from the elements is 61 meV per atom. As for the total magnetization: 4.13 μB/f.u.

Unit cell a=3.319 b=3.319 c=6.922 alpha=90.00 beta=90.00 gamma=90.00
Space group P4/mmm (No. 123)
Symmetry-distinct sites (fractional):
Mn: 0.000 0.000 0.000
Pb: 0.000 0.000 0.500
Au: 0.500 0.500 0.204